# 1
First-principles (PBE) data for an optimized crystal structure of Er3Zn5O12, as listed in Alexandria.

Unit cell a=10.7983 b=10.7983 c=10.7983 alpha=109.47 beta=109.47 gamma=109.47
Last column: nearest neighbours and their distance in Å.
Element x y z (fractional)
O1 0.2127 0.5388 0.6298  2 Zn 1.93-2.06
O2 0.4090 0.0388 0.3261  2 Zn 1.93-2.06
O3 0.3261 0.5388 0.4090  2 Zn 1.93-2.06
O4 0.1298 0.7127 0.5388  2 Zn 1.93-2.06
O5 0.6739 0.2127 0.5828  2 Zn 1.93-2.06
O6 0.8261 0.9090 0.0388  2 Zn 1.93-2.06
O7 0.5828 0.7127 0.6739  2 Zn 1.93-2.06
O8 0.5910 0.6298 0.4172  2 Zn 1.93-2.06
O9 0.0828 0.1739 0.2127  2 Zn 1.93-2.06
O10 0.9612 0.3702 0.2873  2 Zn 1.93-2.06
O11 0.5388 0.3261 0.9090  2 Zn 1.93-2.06
O12 0.9090 0.0828 0.8702  2 Zn 1.93-2.06
O13 0.0910 0.9172 0.1298  2 Zn 1.93-2.06
O14 0.2127 0.6739 0.0828  2 Zn 1.93-2.06
O15 0.9172 0.8261 0.7873  2 Zn 1.93-2.06
O16 0.1298 0.4172 0.0910  2 Zn 1.93-2.06
O17 0.3261 0.7873 0.4172  2 Zn 1.93-2.06
O18 0.4612 0.7873 0.8702  2 Zn 1.93-2.06
O19 0.4612 0.6739 0.0910  2 Zn 1.93-2.06
O20 0.7127 0.1298 0.0388  2 Zn 1.93-2.06
O21 0.0828 0.9090 0.3702  2 Zn 1.93-2.06
O22 0.0910 0.1739 0.4612  2 Zn 1.93-2.06
O23 0.3702 0.9612 0.7873  2 Zn 1.93-2.06
O24 0.7873 0.4612 0.3702  2 Zn 1.93-2.06
O25 0.2873 0.8702 0.9612  2 Zn 1.93-2.06
O26 0.1739 0.0828 0.7127  2 Zn 1.93-2.06
O27 0.7127 0.5828 0.1739  2 Zn 1.93-2.06
O28 0.3702 0.4090 0.0828  2 Zn 1.93-2.06
O29 0.8702 0.2873 0.4612  2 Zn 1.93-2.06
O30 0.9090 0.8261 0.5388  2 Zn 1.93-2.06
O31 0.5828 0.8702 0.4090  2 Zn 1.93-2.06
O32 0.5910 0.9612 0.6739  2 Zn 1.93-2.06
O33 0.0388 0.6298 0.7127  2 Zn 1.93-2.06
O34 0.1739 0.0910 0.9612  2 Zn 1.93-2.06
O35 0.7873 0.3261 0.9172  2 Zn 1.93-2.06
O36 0.9172 0.0910 0.6298  2 Zn 1.93-2.06
O37 0.2873 0.4172 0.8261  2 Zn 1.93-2.06
O38 0.5388 0.2127 0.1298  2 Zn 1.93-2.06
O39 0.6298 0.5910 0.9172  2 Zn 1.93-2.06
O40 0.0388 0.4090 0.8261  2 Zn 1.93-2.06
O41 0.9612 0.5910 0.1739  2 Zn 1.93-2.06
O42 0.8702 0.5828 0.9090  2 Zn 1.93-2.06
O43 0.6298 0.0388 0.2127  2 Zn 1.93-2.06
O44 0.8261 0.9172 0.2873  2 Zn 1.93-2.06
O45 0.6739 0.4612 0.5910  2 Zn 1.93-2.06
O46 0.4172 0.1298 0.5910  2 Zn 1.93-2.06
O47 0.4172 0.2873 0.3261  2 Zn 1.93-2.06
O48 0.4090 0.3702 0.5828  2 Zn 1.93-2.06
Zn1 0.3750 0.1250 0.7500  4 O 1.93
Zn2 0.5000 0.0000 0.5000  6 O 2.06
Zn3 0.0000 0.0000 0.5000  6 O 2.06
Zn4 0.6250 0.8750 0.2500  4 O 1.93
Zn5 0.3750 0.2500 0.1250  4 O 1.93
Zn6 0.8750 0.6250 0.7500  4 O 1.93
Zn7 0.7500 0.1250 0.8750  4 O 1.93
Zn8 0.0000 0.0000 0.0000  6 O 2.06
Zn9 0.7500 0.6250 0.3750  4 O 1.93
Zn10 0.5000 0.5000 0.0000  6 O 2.06
Zn11 0.0000 0.5000 0.0000  6 O 2.06
Zn12 0.8750 0.2500 0.6250  4 O 1.93
Zn13 0.6250 0.7500 0.8750  4 O 1.93
Zn14 0.0000 0.5000 0.5000  6 O 2.06
Zn15 0.2500 0.3750 0.6250  4 O 1.93
Zn16 0.5000 0.0000 0.0000  6 O 2.06
Zn17 0.1250 0.3750 0.2500  4 O 1.93
Zn18 0.1250 0.7500 0.3750  4 O 1.93
Zn19 0.5000 0.5000 0.5000  6 O 2.06
Zn20 0.2500 0.8750 0.1250  4 O 1.93
Er1 0.2500 0.6250 0.8750  8 O 2.33-2.40
Er2 0.7500 0.3750 0.1250  8 O 2.33-2.40
Er3 0.1250 0.8750 0.7500  8 O 2.33-2.40
Er4 0.3750 0.7500 0.6250  8 O 2.33-2.40
Er5 0.6250 0.3750 0.7500  8 O 2.33-2.40
Er6 0.2500 0.1250 0.3750  8 O 2.33-2.40
Er7 0.6250 0.2500 0.3750  8 O 2.33-2.40
Er8 0.1250 0.2500 0.8750  8 O 2.33-2.40
Er9 0.3750 0.6250 0.2500  8 O 2.33-2.40
Er10 0.7500 0.8750 0.6250  8 O 2.33-2.40
Er11 0.8750 0.7500 0.1250  8 O 2.33-2.40
Er12 0.8750 0.1250 0.2500  8 O 2.33-2.40

Formation energy without anion corrections = -42.7 kcal/mol of atoms
Density of states at the Fermi level = 0.84 states/eV/atom
Total DFT energy (no corrections) = -5.83 eV/atom
Theoretical density = 7.00 g cm⁻³

***

# 2
First-principles (PBE) data for an optimized crystal structure of TaVMo2, as listed in Alexandria.

Unit cell a=7.0610 b=7.0610 c=5.6785 alpha=51.56 beta=51.56 gamma=90.00
Last column: nearest neighbours and their distance in Å.
Element x y z (fractional)
Ta1 0.7500 0.2500 0.5000  4 Mo 2.68, 2 V 2.70
Ta2 0.0000 0.0000 0.0000  4 Mo 2.68, 2 V 2.70
Mo1 0.3750 0.3950 0.7500  2 V 2.49, 2 Ta 2.68, 2 Mo 2.72
Mo2 0.1450 0.6250 0.2500  2 V 2.49, 2 Ta 2.68, 2 Mo 2.72
Mo3 0.8750 0.8550 0.7500  2 V 2.49, 2 Ta 2.68, 2 Mo 2.72
Mo4 0.6050 0.1250 0.2500  2 V 2.49, 2 Ta 2.68, 2 Mo 2.72
V1 0.2500 0.7500 0.5000  4 Mo 2.49, 2 Ta 2.70
V2 0.5000 0.5000 0.0000  4 Mo 2.49, 2 Ta 2.70

E_form = 0.63 eV/atom
Density of states at the Fermi level = 0.89 states/eV/atom
Total DFT energy (no corrections) = -10.03 eV/atom
Theoretical density = 10.44 g cm⁻³

***

# 3
First-principles (PBE) data for an optimized crystal structure of Ti4Ir2Os, as listed in Alexandria.

Unit cell a=5.3235 b=5.3235 c=5.3235 alpha=108.25 beta=110.08 gamma=110.08
Last column: nearest neighbours and their distance in Å.
Element x y z (fractional)
Os1 0.0000 0.0000 0.0000  8 Ti 2.66
Ti1 0.5000 0.5000 0.5000  4 Ir 2.66, 2 Os 2.66
Ti2 0.0000 0.5000 0.0000  4 Ir 2.66, 2 Os 2.66
Ti3 0.0000 0.0000 0.5000  2 Os 2.66, 4 Ir 2.66
Ti4 0.5000 0.0000 0.0000  4 Ir 2.66, 2 Os 2.66
Ir1 0.5000 0.5000 0.0000  8 Ti 2.66
Ir2 0.5000 0.0000 0.5000  8 Ti 2.66

E_form = -0.60 eV/atom
Density of states at the Fermi level = 0.74 states/eV/atom
Total DFT energy (no corrections) = -9.24 eV/atom
Theoretical density = 10.96 g cm⁻³

***

# 4
First-principles (PBE) data for an optimized crystal structure of SrSiPb, as listed in Alexandria.

Unit cell a=3.9975 b=4.5950 c=9.7172 alpha=76.32 beta=90.00 gamma=90.00
Last column: nearest neighbours and their distance in Å.
Element x y z (fractional)
Si1 0.7500 0.4638 0.0724  2 Si 2.42
Si2 0.2500 0.5362 0.9276  2 Si 2.42
Pb1 0.7500 0.2891 0.4217  1 Si 3.30, 4 Pb 3.38
Pb2 0.2500 0.7109 0.5783  1 Si 3.30, 4 Pb 3.38
Sr1 0.2500 0.9071 0.1859  6 Si 3.23-3.35
Sr2 0.7500 0.0929 0.8141  6 Si 3.23-3.35

Formation energy without anion corrections = -7.6 kcal/mol of atoms
Density of states at the Fermi level = 0.44 states/eV/atom
Total DFT energy (no corrections) = -3.93 eV/atom
Theoretical density = 6.18 g cm⁻³

***

# 5
First-principles (PBE) data for an optimized crystal structure of Cd2TeRh, as listed in Alexandria.

Unit cell a=5.3394 b=5.3394 c=5.3394 alpha=132.03 beta=132.03 gamma=70.17
Last column: nearest neighbours and their distance in Å.
Element x y z (fractional)
Rh1 0.5000 0.5000 0.0000  8 Cd 3.07-3.08, 4 Te 3.08
Cd1 0.0000 0.0000 0.0000  4 Rh 3.07, 4 Te 3.08, 4 Cd 3.08
Cd2 0.2500 0.7500 0.5000  4 Te 3.07, 4 Cd 3.08, 4 Rh 3.08
Te1 0.7500 0.2500 0.5000  8 Cd 3.07-3.08, 4 Rh 3.08

Formation energy without anion corrections = 1.9 kcal/mol of atoms
Density of states at the Fermi level = 1.07 states/eV/atom
Total DFT energy (no corrections) = -3.00 eV/atom
Theoretical density = 9.19 g cm⁻³

***

# 6
First-principles (PBE) data for an optimized crystal structure of TiTl2PbO4, as listed in Alexandria.

Unit cell a=5.5096 b=8.0621 c=7.9358 alpha=90.00 beta=90.00 gamma=90.00
Last column: nearest neighbours and their distance in Å.
Element x y z (fractional)
Ti1 0.0039 0.0924 0.0000  4 O 1.81-1.89
Ti2 0.5039 0.9076 0.5000  4 O 1.81-1.89
Tl1 0.9857 0.6869 0.7222  3 O 2.47-2.69
Tl2 0.9857 0.6869 0.2778  3 O 2.47-2.69
Tl3 0.4857 0.3131 0.7778  3 O 2.47-2.69
Tl4 0.4857 0.3131 0.2222  3 O 2.47-2.69
O1 0.8961 0.1943 0.1889  1 Ti 1.81
O2 0.8471 0.9090 0.5000  1 Ti 1.89
O3 0.3961 0.8057 0.6889  1 Ti 1.81
O4 0.4044 0.1297 0.5000  1 Ti 1.87
O5 0.8961 0.1943 0.8111  1 Ti 1.81
O6 0.3471 0.0910 0.0000  1 Ti 1.89
O7 0.9044 0.8703 0.0000  1 Ti 1.87
O8 0.3961 0.8057 0.3111  1 Ti 1.81
Pb1 0.4810 0.8221 0.0000  4 O 2.29-2.52
Pb2 0.9810 0.1779 0.5000  4 O 2.29-2.52

Formation energy without anion corrections = -38.5 kcal/mol of atoms
Density of states at the Fermi level = 0.00 states/eV/atom
Total DFT energy (no corrections) = -6.19 eV/atom
Theoretical density = 6.86 g cm⁻³